Compound: ZnTcP
Source: the Alexandria database
Functional: meta-GGA SCAN
Structure: single point on PBEsol structure

Cell lengths 3.051, 3.051, 8.478 Å; angles 90.00, 90.00, 90.00 degrees
Space group I4mm (No. 107)
Symmetry-distinct sites (fractional):
Zn 0.000 0.000 0.000 x2
Tc 0.000 0.000 0.309 x2
P 0.000 0.000 0.682 x2

* formation energy: -0.97 eV per formula unit
* V: 13.16 A^3/atom
* D(E_F): 0.04 states/eV per atom
* spin magnetization: 0.0 Bohr magnetons per cell

=====

Compound: ZnTc2P
Source: the Alexandria database
Functional: meta-GGA SCAN
Structure: single point on PBEsol structure

Cell lengths 2.954, 4.508, 8.483 Å; angles 90.00, 90.00, 90.00 degrees
Space group Cmm2 (No. 35)
Symmetry-distinct sites (fractional):
Zn 0.000 0.000 0.000 x2
Tc 0.000 0.000 0.494 x2
Tc 0.000 0.500 0.747 x2
P 0.000 0.500 0.273 x2

* formation energy: 1.08 eV per formula unit
* V: 14.12 A^3/atom
* D(E_F): 0.75 states/eV per atom
* spin magnetization: 0.0 Bohr magnetons per cell

=====

Compound: Zn2TcP
Source: the Alexandria database
Functional: meta-GGA SCAN
Structure: single point on PBEsol structure

Cell lengths 2.619, 2.619, 8.293 Å; angles 90.00, 90.00, 90.00 degrees
Space group P4/mmm (No. 123)
Symmetry-distinct sites (fractional):
Zn 0.000 0.000 0.240 x2
Tc 0.500 0.500 0.000 x1
P 0.500 0.500 0.500 x1

* formation energy: 1.44 eV per formula unit
* V: 14.22 A^3/atom
* D(E_F): 0.76 states/eV per atom
* spin magnetization: 0.0 Bohr magnetons per cell

=====

Compound: Zr3TcP
Source: the Alexandria database
Functional: meta-GGA SCAN
Structure: single point on PBEsol structure

Cell lengths 4.747, 4.747, 4.747 Å; angles 90.00, 90.00, 90.00 degrees
Space group Pm-3m (No. 221)
Symmetry-distinct sites (fractional):
Zr 0.000 0.000 0.500 x3
Tc 0.500 0.500 0.500 x1
P 0.000 0.000 0.000 x1

* formation energy: 0.06 eV per formula unit
* V: 21.40 A^3/atom
* D(E_F): 0.83 states/eV per atom
* spin magnetization: 2.0 Bohr magnetons per cell

=====

Compound: ZrTcP2
Source: the Alexandria database
Functional: meta-GGA SCAN
Structure: single point on PBEsol structure

Cell lengths 3.255, 3.322, 11.469 Å; angles 90.00, 90.00, 90.00 degrees
Space group Imm2 (No. 44)
Symmetry-distinct sites (fractional):
Zr 0.000 0.000 0.000 x2
Tc 0.000 0.500 0.249 x2
P 0.000 0.000 0.592 x2
P 0.000 0.500 0.825 x2

* formation energy: -3.70 eV per formula unit
* V: 15.51 A^3/atom
* D(E_F): 0.29 states/eV per atom
* spin magnetization: 0.0 Bohr magnetons per cell

=====

Compound: ZrTcP3
Source: the Alexandria database
Functional: meta-GGA SCAN
Structure: single point on PBEsol structure

Cell lengths 4.880, 4.880, 4.880 Å; angles 90.00, 90.00, 90.00 degrees
Space group Pm-3m (No. 221)
Symmetry-distinct sites (fractional):
Zr 0.000 0.000 0.000 x1
Tc 0.500 0.500 0.500 x1
P 0.000 0.000 0.500 x3

* formation energy: 4.77 eV per formula unit
* V: 23.25 A^3/atom
* D(E_F): 0.54 states/eV per atom
* spin magnetization: 3.4 Bohr magnetons per cell

=====

Compound: Te8P
Source: the Alexandria database
Functional: meta-GGA SCAN
Structure: single point on PBEsol structure

Cell lengths 11.960, 11.960, 4.308 Å; angles 90.00, 90.00, 90.00 degrees
Space group I4/mmm (No. 139)
Symmetry-distinct sites (fractional):
Te 0.000 0.227 0.000 x8
Te 0.179 0.179 0.500 x8
P 0.000 0.000 0.000 x2

* V: 34.23 A^3/atom
* D(E_F): 0.64 states/eV per atom
* spin magnetization: 0.0 Bohr magnetons per cell
* raw formation energy: 26.1 kJ per mole of atoms

=====

Compound: Ti2Te2P
Source: the Alexandria database
Functional: meta-GGA SCAN
Structure: single point on PBEsol structure

Cell lengths 3.5974, 3.5974, 28.0149 Å; angles 90.00, 90.00, 120.00 degrees
Space group R-3m (No. 166, hexagonal axes)
Symmetry-distinct sites (fractional):
Ti 0.0000 0.0000 0.1200 x6
Te 0.0000 0.0000 0.2779 x6
P 0.0000 0.0000 0.5000 x3

* V: 20.93 A^3/atom
* D(E_F): 0.42 states/eV per atom
* spin magnetization: 0.0 Bohr magnetons per cell
* raw formation energy: -94.2 kJ per mole of atoms